Entry 1:
A plane-wave DFT calculation with PBEsol was carried out for LiAg3 after structural relaxation.

a b c (Å): 2.8232 4.0098 5.6755
angles (deg): 90.00 90.00 90.00
With the nearest neighbours (Å) after each atom.
Fractional positions:
Li: 0.0000 0.0000 0.0000  10 Ag 2.82-2.84, 2 Li 2.82
Ag: 0.0000 0.0000 0.5000  10 Ag 2.82-2.85, 2 Li 2.84
Ag: 0.5000 0.5000 0.2448  8 Ag 2.78-2.90, 4 Li 2.82
Ag: 0.5000 0.5000 0.7552  8 Ag 2.78-2.90, 4 Li 2.82

Properties
SG: Pmmm, No. 47
DFT formation energy: -0.11 eV per atom
crystal system: orthorhombic

Entry 2:
A plane-wave DFT calculation with PBEsol was carried out for Ca3ZrAl after structural relaxation.

a b c (Å): 5.6688 5.6688 5.6688
angles (deg): 90.00 90.00 90.00
With the nearest neighbours (Å) after each atom.
Fractional positions:
Ca: 0.0000 0.0000 0.5000  2 Al 2.83
Ca: 0.0000 0.5000 0.0000  2 Al 2.83
Ca: 0.5000 0.0000 0.0000  2 Al 2.83
Zr: 0.5000 0.5000 0.5000  12 Ca 4.01
Al: 0.0000 0.0000 0.0000  6 Ca 2.83

Properties
SG: Pm-3m, No. 221
DFT formation energy: 0.72 eV per atom
crystal system: cubic